Record 1
First-principles (GGA-PBE) data for CoTeP2 after structural relaxation, as listed in the Alexandria database.

Lattice parameters (Å, degrees): 5.755 5.755 5.755 150.97 130.02 58.84
Sites, in units of the cell vectors:
Co (0.250, 0.750, 0.500)
P (0.071, 0.071, 0.000)
P (0.429, 0.429, 0.000)
Te (0.750, 0.250, 0.500)

Computed properties:
For the density of states at the Fermi level, the calculation gives 0.62 states/eV/atom. For the total magnetization, the calculation gives 0.0000 μB per atom. As for the total energy: -19.63 eV/cell. The raw formation energy comes out at 0.360 eV/atom.

Record 2
First-principles (GGA-PBE) data for MgTlAsSe2 after structural relaxation, as listed in the Alexandria database.

Lattice parameters (Å, degrees): 5.233 5.233 5.042 90.00 90.00 90.00
Sites, in units of the cell vectors:
Mg (0.000, 0.000, 0.000)
Tl (0.500, 0.500, 0.500)
As (0.000, 0.000, 0.500)
Se (0.000, 0.500, 0.000)
Se (0.500, 0.000, 0.000)

Computed properties:
For the density of states at the Fermi level, the calculation gives 1.05 states/eV/atom. The value obtained for the excess energy over the best structure of this formula in the dataset is 0.0000 eV per atom. For the total magnetization, the calculation gives 0.0000 μB per atom. As for the total energy: -15.15 eV/cell. The raw formation energy comes out at 0.086 eV/atom.

Record 3
First-principles (GGA-PBE) data for ReCl3O2 after structural relaxation, as listed in the Alexandria database.

Lattice parameters (Å, degrees): 8.571 8.699 8.692 90.00 90.00 90.00
Sites, in units of the cell vectors:
Re (0.000, 0.273, 0.567)
Re (0.500, 0.773, 0.933)
Re (0.000, 0.727, 0.433)
Re (0.500, 0.227, 0.067)
Cl (0.000, 0.387, 0.804)
Cl (0.500, 0.741, 0.194)
Cl (0.500, 0.259, 0.806)
Cl (0.189, 0.500, 0.500)
Cl (0.500, 0.113, 0.304)
Cl (0.311, 0.000, 0.000)
Cl (0.000, 0.759, 0.694)
Cl (0.811, 0.500, 0.500)
Cl (0.000, 0.613, 0.196)
Cl (0.000, 0.241, 0.306)
Cl (0.689, 0.000, 0.000)
Cl (0.500, 0.887, 0.696)
O (0.841, 0.158, 0.600)
O (0.659, 0.658, 0.900)
O (0.659, 0.342, 0.100)
O (0.341, 0.342, 0.100)
O (0.341, 0.658, 0.900)
O (0.159, 0.842, 0.400)
O (0.841, 0.842, 0.400)
O (0.159, 0.158, 0.600)

Computed properties:
For the density of states at the Fermi level, the calculation gives 0.00 states/eV/atom. The value obtained for the excess energy over the best structure of this formula in the dataset is 0.0000 eV per atom. For the total magnetization, the calculation gives 0.0000 μB per atom. As for the total energy: -134.67 eV/cell. The raw formation energy comes out at -0.961 eV/atom.

Record 4
First-principles (GGA-PBE) data for ZnIn2N2 after structural relaxation, as listed in the Alexandria database.

Lattice parameters (Å, degrees): 3.062 3.062 10.242 90.00 90.00 120.00
Sites, in units of the cell vectors:
Zn (0.000, 0.000, 0.000)
In (0.667, 0.333, 0.257)
In (0.333, 0.667, 0.743)
N (0.667, 0.333, 0.481)
N (0.333, 0.667, 0.519)

Computed properties:
For the density of states at the Fermi level, the calculation gives 0.46 states/eV/atom. For the total magnetization, the calculation gives 0.0000 μB per atom. As for the total energy: -17.84 eV/cell. The raw formation energy comes out at 1.112 eV/atom.

Record 5
First-principles (GGA-PBE) data for U2OsN after structural relaxation, as listed in the Alexandria database.

Lattice parameters (Å, degrees): 2.985 2.985 7.024 90.00 90.00 90.00
Sites, in units of the cell vectors:
Os (0.500, 0.500, 0.000)
U (0.000, 0.000, 0.713)
U (0.000, 0.000, 0.287)
N (0.500, 0.500, 0.500)

Computed properties:
For the density of states at the Fermi level, the calculation gives 1.40 states/eV/atom. The value obtained for the excess energy over the best structure of this formula in the dataset is 0.1509 eV per atom. For the total magnetization, the calculation gives 0.4184 μB per atom. As for the total energy: -43.27 eV/cell. The raw formation energy comes out at -0.285 eV/atom.

Record 6
First-principles (GGA-PBE) data for Y4ZnHg after structural relaxation, as listed in the Alexandria database.

Lattice parameters (Å, degrees): 5.014 5.015 7.205 89.98 89.99 90.00
Sites, in units of the cell vectors:
Y (0.501, 0.997, 0.256)
Y (0.501, 0.998, 0.741)
Y (0.001, 0.497, 0.741)
Y (0.001, 0.497, 0.256)
Zn (0.001, 0.997, 0.498)
Hg (0.501, 0.497, 0.998)

Computed properties:
For the density of states at the Fermi level, the calculation gives 1.26 states/eV/atom. The value obtained for the excess energy over the best structure of this formula in the dataset is 0.2056 eV per atom. The energy of formation is -0.067 eV/atom. For the total magnetization, the calculation gives 0.0000 μB per atom. As for the total energy: -27.84 eV/cell.

Record 7
First-principles (GGA-PBE) data for Ta2BeSeCl after structural relaxation, as listed in the Alexandria database.

Lattice parameters (Å, degrees): 4.882 3.987 4.882 90.00 90.00 90.00
Sites, in units of the cell vectors:
Be (0.000, 0.500, 0.000)
Cl (0.500, 0.500, 0.500)
Se (0.000, 0.000, 0.000)
Ta (0.000, 0.000, 0.500)
Ta (0.500, 0.000, 0.000)

Computed properties:
For the density of states at the Fermi level, the calculation gives 0.70 states/eV/atom. For the total magnetization, the calculation gives 0.0000 μB per atom. As for the total energy: -26.90 eV/cell. The raw formation energy comes out at 1.172 eV/atom.

Record 8
First-principles (GGA-PBE) data for Sm3DyTh2 after structural relaxation, as listed in the Alexandria database.

Lattice parameters (Å, degrees): 3.608 10.146 10.776 90.23 90.00 90.00
Sites, in units of the cell vectors:
Sm (0.750, 0.132, 0.583)
Sm (0.250, 0.868, 0.417)
Sm (0.750, 0.624, 0.250)
Sm (0.250, 0.376, 0.750)
Sm (0.250, 0.364, 0.083)
Sm (0.750, 0.636, 0.917)
Dy (0.250, 0.875, 0.750)
Dy (0.750, 0.125, 0.250)
Th (0.250, 0.379, 0.418)
Th (0.750, 0.621, 0.582)
Th (0.750, 0.118, 0.918)
Th (0.250, 0.882, 0.082)

Computed properties:
For the density of states at the Fermi level, the calculation gives 1.34 states/eV/atom. The value obtained for the excess energy over the best structure of this formula in the dataset is 0.0000 eV per atom. The energy of formation is 0.038 eV/atom. For the total magnetization, the calculation gives 0.0000 μB per atom. As for the total energy: -66.74 eV/cell.

Record 9
First-principles (GGA-PBE) data for ZrTiMnFe after structural relaxation, as listed in the Alexandria database.

Lattice parameters (Å, degrees): 4.350 4.350 4.350 60.00 60.00 60.00
Sites, in units of the cell vectors:
Mn (0.250, 0.250, 0.250)
Fe (0.750, 0.750, 0.750)
Zr (0.500, 0.500, 0.500)
Ti (0.000, 0.000, 0.000)

Computed properties:
For the density of states at the Fermi level, the calculation gives 0.88 states/eV/atom. The energy of formation is -0.179 eV/atom. For the total magnetization, the calculation gives 0.1022 μB per atom. As for the total energy: -34.79 eV/cell.

Record 10
First-principles (GGA-PBE) data for Er8PdRu5 after structural relaxation, as listed in the Alexandria database.

Lattice parameters (Å, degrees): 7.341 7.341 7.341 109.31 109.80 109.31
Sites, in units of the cell vectors:
Er (0.141, 0.761, 0.023)
Er (0.977, 0.117, 0.737)
Er (0.741, 0.242, 0.349)
Er (0.651, 0.392, 0.893)
Er (0.501, 0.608, 0.259)
Er (0.620, 0.883, 0.859)
Er (0.263, 0.239, 0.380)
Er (0.107, 0.758, 0.499)
Pd (0.250, 0.500, 0.750)
Ru (0.032, 0.390, 0.146)
Ru (0.854, 0.886, 0.244)
Ru (0.756, 0.610, 0.643)
Ru (0.500, 0.000, 0.500)
Ru (0.357, 0.114, 0.968)

Computed properties:
For the density of states at the Fermi level, the calculation gives 0.51 states/eV/atom. The energy of formation is -0.344 eV/atom. For the total magnetization, the calculation gives 0.0000 μB per atom. As for the total energy: -92.89 eV/cell.

Record 11
First-principles (GGA-PBE) data for TbRuSe after structural relaxation, as listed in the Alexandria database.

Lattice parameters (Å, degrees): 4.444 4.444 8.645 75.10 75.10 60.00
Sites, in units of the cell vectors:
Ru (0.324, 0.324, 0.029)
Ru (0.676, 0.676, 0.971)
Se (0.167, 0.167, 0.499)
Se (0.833, 0.833, 0.501)
Tb (0.429, 0.429, 0.714)
Tb (0.571, 0.571, 0.286)

Computed properties:
For the density of states at the Fermi level, the calculation gives 0.82 states/eV/atom. For the total magnetization, the calculation gives 0.0003 μB per atom. As for the total energy: -35.52 eV/cell. The raw formation energy comes out at -0.123 eV/atom.

Record 12
First-principles (GGA-PBE) data for Ba2Tl4Pd3Au after structural relaxation, as listed in the Alexandria database.

Lattice parameters (Å, degrees): 5.023 5.023 10.774 90.00 90.00 90.00
Sites, in units of the cell vectors:
Ba (0.500, 0.000, 0.262)
Ba (0.000, 0.500, 0.738)
Tl (0.500, 0.500, 0.000)
Tl (0.000, 0.000, 0.000)
Tl (0.500, 0.000, 0.624)
Tl (0.000, 0.500, 0.376)
Pd (0.000, 0.000, 0.500)
Pd (0.500, 0.000, 0.878)
Pd (0.000, 0.500, 0.122)
Au (0.500, 0.500, 0.500)

Computed properties:
For the density of states at the Fermi level, the calculation gives 0.52 states/eV/atom. The energy of formation is -0.402 eV/atom. For the total magnetization, the calculation gives 0.0000 μB per atom. As for the total energy: -36.19 eV/cell.